Entry 1:
La5Rh2, relaxed, DFT PBE; energy of formation = -519 meV per atom; SG = No. 15
1.0
8.685 -3.328 0.000
8.685 3.328 0.000
-0.887 0.000 7.352
La Rh
10 4
direct
0.077 0.923 0.750
0.142 0.286 0.320
0.286 0.142 0.820
0.305 0.507 0.082
0.493 0.695 0.418
0.507 0.305 0.582
0.695 0.493 0.918
0.714 0.858 0.180
0.858 0.714 0.680
0.923 0.077 0.250
0.086 0.694 0.416
0.306 0.914 0.084
0.694 0.086 0.916
0.914 0.306 0.584

=====

Entry 2:
LaRh2, relaxed, DFT PBE; energy of formation = -466 meV per atom; SG = No. 191
1.0
4.331 0.000 0.000
-2.165 3.751 0.000
0.000 0.000 4.100
La Rh
1 2
direct
0.000 0.000 0.000
0.333 0.667 0.500
0.667 0.333 0.500

=====

Entry 3:
LaRh2, relaxed, DFT PBE; energy of formation = -507 meV per atom; SG = No. 63
1.0
4.722 -2.749 0.000
4.722 2.749 0.000
0.000 0.000 4.757
La Rh
2 4
direct
0.246 0.754 0.750
0.754 0.246 0.250
0.149 0.402 0.250
0.402 0.149 0.750
0.598 0.851 0.250
0.851 0.598 0.750

=====

Entry 4:
LaRh5, relaxed, DFT PBE; energy of formation = -14 meV per atom; SG = No. 38
1.0
4.468 0.000 0.000
0.000 1.454 7.679
0.000 -1.454 7.679
La Rh
1 5
direct
0.000 0.000 0.000
0.000 0.321 0.321
0.000 0.669 0.669
0.500 0.123 0.123
0.500 0.423 0.423
0.500 0.775 0.775

=====

Entry 5:
LaRh6, relaxed, DFT PBE; energy of formation = 333 meV per atom; SG = No. 229
1.0
-3.384 3.384 3.384
3.384 -3.384 3.384
3.384 3.384 -3.384
La Rh
1 6
direct
0.000 0.000 0.000
0.250 0.500 0.750
0.250 0.750 0.500
0.500 0.250 0.750
0.500 0.750 0.250
0.750 0.250 0.500
0.750 0.500 0.250

=====

Entry 6:
LaRh2, relaxed, DFT PBE; energy of formation = -212 meV per atom; SG = No. 189
1.0
7.837 0.000 0.000
-3.918 6.787 0.000
0.000 0.000 3.261
La Rh
3 6
direct
0.000 0.000 0.000
0.333 0.667 0.500
0.667 0.333 0.500
0.000 0.306 0.500
0.000 0.641 0.000
0.306 0.000 0.500
0.359 0.359 0.000
0.641 0.000 0.000
0.694 0.694 0.500

=====

Entry 7:
La2Rh, relaxed, DFT PBE; energy of formation = -427 meV per atom; SG = No. 141
1.0
-1.794 1.794 14.027
1.794 -1.794 14.027
1.794 1.794 -14.027
La Rh
4 2
direct
0.315 0.565 0.750
0.435 0.685 0.750
0.565 0.315 0.250
0.685 0.435 0.250
0.125 0.875 0.250
0.875 0.125 0.750

=====

Entry 8:
La2Rh, relaxed, DFT PBE; energy of formation = -552 meV per atom; SG = No. 205
1.0
7.158 0.000 0.000
0.000 7.158 0.000
0.000 0.000 7.158
La Rh
8 4
direct
0.169 0.169 0.169
0.169 0.331 0.669
0.331 0.669 0.169
0.331 0.831 0.669
0.669 0.169 0.331
0.669 0.331 0.831
0.831 0.669 0.331
0.831 0.831 0.831
0.000 0.000 0.500
0.000 0.500 0.000
0.500 0.000 0.000
0.500 0.500 0.500

=====

What is the energy of formation in the sixth record?
-212 meV per atom

=====

Among the records above, which one has the highest energy of formation?
LaRh6

=====

Among the records above, which one has the lowest energy of formation?
number 8

=====

Look up the energy of formation of the fourth one.
-14 meV per atom